1.
{"formula": "LaSmLuZn", "functional": "PBE", "state": "relaxed", "total_energy_ev_per_atom": -3.864, "space_group": "F-43m (216)", "lattice": [[-4.346, -1.530, 2.878], [0.614, -3.163, 4.374], [-0.825, 2.041, 4.967]], "species": ["La", "Sm", "Zn", "Lu"], "frac_coords": [[0.250, 0.250, 0.250], [0.750, 0.750, 0.750], [0.000, 0.000, 0.000], [0.500, 0.500, 0.500]]}



2.
{"formula": "La2LuSn", "functional": "PBE", "state": "relaxed", "total_energy_ev_per_atom": -4.985, "space_group": "P4/mmm (123)", "lattice": [[4.339, 0.000, 0.000], [0.000, 4.339, 0.000], [0.000, 0.000, 6.768]], "species": ["Lu", "Sn", "La", "La"], "frac_coords": [[0.500, 0.500, 0.000], [0.500, 0.500, 0.500], [0.000, 0.000, 0.731], [0.000, 0.000, 0.269]]}



3.
{"formula": "La2LuSn", "functional": "PBE", "state": "relaxed", "total_energy_ev_per_atom": -5.025, "space_group": "P4/mmm (123)", "lattice": [[5.043, 0.000, 0.000], [0.000, 4.892, 0.000], [0.000, 0.000, 4.892]], "species": ["La", "La", "Lu", "Sn"], "frac_coords": [[0.000, 0.500, 0.000], [0.000, 0.000, 0.500], [0.500, 0.500, 0.500], [0.500, 0.000, 0.000]]}



4.
{"formula": "LaTbLuSn", "functional": "PBE", "state": "relaxed", "total_energy_ev_per_atom": -4.779, "space_group": "F-43m (216)", "lattice": [[-0.949, 4.857, 2.399], [-4.622, 0.791, 2.873], [0.210, 0.449, 5.477]], "species": ["Lu", "La", "Tb", "Sn"], "frac_coords": [[0.750, 0.750, 0.750], [0.500, 0.500, 0.500], [0.000, 0.000, 0.000], [0.250, 0.250, 0.250]]}



5.
{"formula": "LaTmLuSn", "functional": "PBE", "state": "relaxed", "total_energy_ev_per_atom": -4.721, "space_group": "F-43m (216)", "lattice": [[5.468, 0.000, 0.000], [2.734, 4.736, 0.000], [2.734, 1.579, 4.465]], "species": ["La", "Sn", "Tm", "Lu"], "frac_coords": [[0.500, 0.500, 0.500], [0.250, 0.250, 0.250], [0.000, 0.000, 0.000], [0.750, 0.750, 0.750]]}



6.
{"formula": "LaLuZnSn", "functional": "PBE", "state": "relaxed", "total_energy_ev_per_atom": -4.167, "space_group": "F-43m (216)", "lattice": [[-1.606, -4.950, -0.882], [1.869, -2.682, -4.144], [3.329, -4.027, 0.747]], "species": ["Lu", "Zn", "La", "Sn"], "frac_coords": [[0.000, 0.000, 0.000], [0.250, 0.250, 0.250], [0.500, 0.500, 0.500], [0.750, 0.750, 0.750]]}



7.
{"formula": "SrLaLu2", "functional": "PBE", "state": "relaxed", "total_energy_ev_per_atom": -3.752, "space_group": "R-3m (166)", "lattice": [[3.672, 0.000, 0.000], [1.836, 3.180, 0.000], [1.836, 1.060, 12.123]], "species": ["Sr", "La", "Lu", "Lu"], "frac_coords": [[0.500, 0.500, 0.500], [0.000, 0.000, 0.000], [0.255, 0.255, 0.234], [0.745, 0.745, 0.766]]}



8.
{"formula": "SrLaLu2", "functional": "PBE", "state": "relaxed", "total_energy_ev_per_atom": -3.754, "space_group": "P4/mmm (123)", "lattice": [[-0.786, 3.645, -0.202], [-2.716, -0.722, -2.459], [-6.780, -1.031, 7.789]], "species": ["La", "Lu", "Lu", "Sr"], "frac_coords": [[0.500, 0.500, 0.000], [0.000, 0.000, 0.775], [0.000, 0.000, 0.225], [0.500, 0.500, 0.500]]}



| no. | total magnetization (μB/cell) |
| --- | --- |
| 1 | 0.00 |
| 2 | 0.00 |
| 3 | 0.00 |
| 4 | 0.00 |
| 5 | 0.00 |
| 6 | 0.00 |
| 7 | 0.00 |
| 8 | 0.00 |